Entry 1:
First-principles (GGA-PBE) data for a relaxed structure of Mn2FeCl, as listed in the Alexandria database.

Properties
Spin magnetization, μB/cell: 10.7
SG: No. 139
Calculated volume, Å³/cell: 60.54
Energy relative to the elements, uncorrected, meV per atom: 658

a = 4.869 Å, b = 4.869 Å, c = 4.869 Å
α = 133.04°, β = 133.04°, γ = 68.59°
Element x y z (fractional)
Mn  0.250  0.750  0.500
Mn  0.750  0.250  0.500
Fe  0.000  0.000  0.000
Cl  0.500  0.500  0.000

***

Entry 2:
First-principles (GGA-PBE) data for a relaxed structure of Mn2FeCl, as listed in the Alexandria database.

Properties
Spin magnetization, μB/cell: 0.9
SG: No. 12
Calculated volume, Å³/cell: 51.81
Energy relative to the elements, uncorrected, meV per atom: 620

a = 4.678 Å, b = 4.678 Å, c = 4.162 Å
α = 91.83°, β = 91.83°, γ = 34.70°
Element x y z (fractional)
Mn  0.221  0.221  0.284
Mn  0.779  0.779  0.716
Fe  0.500  0.500  0.500
Cl  0.000  0.000  0.000

***

Entry 3:
First-principles (GGA-PBE) data for a relaxed structure of MnFe2Cl, as listed in the Alexandria database.

Properties
Spin magnetization, μB/cell: 9.3
SG: No. 160
Calculated volume, Å³/cell: 58.72
Energy relative to the elements, uncorrected, meV per atom: 238

a = 7.739 Å, b = 7.739 Å, c = 7.739 Å
α = 22.34°, β = 22.34°, γ = 22.34°
Element x y z (fractional)
Mn  0.000  0.000  0.000
Fe  0.494  0.494  0.494
Fe  0.753  0.753  0.753
Cl  0.247  0.247  0.247

***

Entry 4:
First-principles (GGA-PBE) data for a relaxed structure of Mn2FeCl, as listed in the Alexandria database.

Properties
Spin magnetization, μB/cell: 10.3
SG: No. 65
Calculated volume, Å³/cell: 61.14
Energy relative to the elements, uncorrected, meV per atom: 274

a = 2.919 Å, b = 2.919 Å, c = 7.645 Å
α = 90.00°, β = 90.00°, γ = 110.23°
Element x y z (fractional)
Mn  0.000  0.000  0.239
Mn  0.000  0.000  0.761
Fe  0.500  0.500  0.000
Cl  0.500  0.500  0.500

***

Entry 5:
First-principles (GGA-PBE) data for a relaxed structure of MnFe2Cl, as listed in the Alexandria database.

Properties
Spin magnetization, μB/cell: 9.6
SG: No. 47
Calculated volume, Å³/cell: 57.35
Energy relative to the elements, uncorrected, meV per atom: 542

a = 2.954 Å, b = 4.205 Å, c = 4.617 Å
α = 90.00°, β = 90.00°, γ = 90.00°
Element x y z (fractional)
Mn  0.000  0.000  0.000
Fe  0.000  0.500  0.500
Fe  0.500  0.000  0.500
Cl  0.500  0.500  0.000

***

Entry 6:
First-principles (GGA-PBE) data for a relaxed structure of MnFe2Cl8, as listed in the Alexandria database.

Properties
Spin magnetization, μB/cell: 15.0
SG: No. 12
Calculated volume, Å³/cell: 348.20
Energy relative to the elements, uncorrected, meV per atom: -827

a = 7.609 Å, b = 7.609 Å, c = 6.153 Å
α = 93.85°, β = 93.85°, γ = 78.86°
Element x y z (fractional)
Mn  0.000  0.000  0.000
Fe  0.198  0.198  0.643
Fe  0.802  0.802  0.357
Cl  0.076  0.721  0.222
Cl  0.182  0.182  0.279
Cl  0.279  0.924  0.778
Cl  0.375  0.375  0.757
Cl  0.625  0.625  0.243
Cl  0.721  0.076  0.222
Cl  0.818  0.818  0.721
Cl  0.924  0.279  0.778

***

Entry 7:
First-principles (GGA-PBE) data for a relaxed structure of Mn3FeCl8, as listed in the Alexandria database.

Properties
Spin magnetization, μB/cell: 19.0
SG: No. 12
Calculated volume, Å³/cell: 297.75
Energy relative to the elements, uncorrected, meV per atom: -976

a = 7.355 Å, b = 7.355 Å, c = 7.673 Å
α = 119.03°, β = 119.03°, γ = 60.01°
Element x y z (fractional)
Mn  0.000  0.000  0.000
Mn  0.000  0.500  0.000
Mn  0.500  0.000  0.000
Fe  0.500  0.500  0.000
Cl  0.241  0.241  0.219
Cl  0.246  0.737  0.217
Cl  0.263  0.263  0.783
Cl  0.263  0.754  0.783
Cl  0.737  0.246  0.217
Cl  0.737  0.737  0.217
Cl  0.754  0.263  0.783
Cl  0.759  0.759  0.781

***

Entry 8:
First-principles (GGA-PBE) data for a relaxed structure of MnFe2Cl, as listed in the Alexandria database.

Properties
Spin magnetization, μB/cell: 9.4
SG: No. 216
Calculated volume, Å³/cell: 57.13
Energy relative to the elements, uncorrected, meV per atom: 717

a = 4.323 Å, b = 4.323 Å, c = 4.323 Å
α = 60.00°, β = 60.00°, γ = 60.00°
Element x y z (fractional)
Mn  0.000  0.000  0.000
Fe  0.250  0.250  0.250
Fe  0.500  0.500  0.500
Cl  0.750  0.750  0.750

***

Entry 9:
First-principles (GGA-PBE) data for a relaxed structure of Mn2FeCl, as listed in the Alexandria database.

Properties
Spin magnetization, μB/cell: 10.7
SG: No. 123
Calculated volume, Å³/cell: 61.30
Energy relative to the elements, uncorrected, meV per atom: 527

a = 4.574 Å, b = 4.574 Å, c = 2.930 Å
α = 90.00°, β = 90.00°, γ = 90.00°
Element x y z (fractional)
Mn  0.000  0.500  0.000
Mn  0.500  0.000  0.000
Fe  0.000  0.000  0.500
Cl  0.500  0.500  0.500

***

Entry 10:
First-principles (GGA-PBE) data for a relaxed structure of Mn2FeCl, as listed in the Alexandria database.

Properties
Spin magnetization, μB/cell: 10.7
SG: No. 44
Calculated volume, Å³/cell: 68.95
Energy relative to the elements, uncorrected, meV per atom: 453

a = 6.213 Å, b = 6.213 Å, c = 6.213 Å
α = 152.75°, β = 140.93°, γ = 48.29°
Element x y z (fractional)
Mn  0.000  0.000  0.000
Mn  0.657  0.157  0.500
Fe  0.468  0.468  0.000
Cl  0.289  0.789  0.500

***

Entry 11:
First-principles (GGA-PBE) data for a relaxed structure of Mn2FeCl6, as listed in the Alexandria database.

Properties
Spin magnetization, μB/cell: 4.0
SG: No. 146
Calculated volume, Å³/cell: 201.94
Energy relative to the elements, uncorrected, meV per atom: -897

a = 6.877 Å, b = 6.877 Å, c = 6.877 Å
α = 54.76°, β = 54.76°, γ = 54.76°
Element x y z (fractional)
Mn  0.000  0.000  0.000
Mn  0.188  0.188  0.188
Fe  0.503  0.503  0.503
Cl  0.118  0.774  0.401
Cl  0.272  0.594  0.912
Cl  0.401  0.118  0.774
Cl  0.594  0.912  0.272
Cl  0.774  0.401  0.118
Cl  0.912  0.272  0.594

***

Entry 12:
First-principles (GGA-PBE) data for a relaxed structure of MnFe2Cl, as listed in the Alexandria database.

Properties
Spin magnetization, μB/cell: 3.8
SG: No. 122
Calculated volume, Å³/cell: 130.38
Energy relative to the elements, uncorrected, meV per atom: 855

a = 5.844 Å, b = 5.844 Å, c = 5.844 Å
α = 124.47°, β = 124.47°, γ = 82.43°
Element x y z (fractional)
Mn  0.000  0.000  0.000
Mn  0.750  0.250  0.500
Fe  0.112  0.625  0.987
Fe  0.375  0.362  0.487
Fe  0.638  0.125  0.013
Fe  0.875  0.888  0.513
Cl  0.250  0.750  0.500
Cl  0.500  0.500  0.000

***

Entry 13:
First-principles (GGA-PBE) data for a relaxed structure of Na2MnFeCl6, as listed in the Alexandria database.

Properties
Spin magnetization, μB/cell: 9.0
SG: No. 146
Calculated volume, Å³/cell: 227.57
Energy relative to the elements, uncorrected, meV per atom: -1207

a = 6.984 Å, b = 6.984 Å, c = 6.984 Å
α = 57.60°, β = 57.60°, γ = 57.60°
Element x y z (fractional)
Na  0.000  0.000  0.000
Na  0.499  0.499  0.499
Mn  0.209  0.209  0.209
Fe  0.709  0.709  0.709
Cl  0.059  0.448  0.842
Cl  0.347  0.940  0.566
Cl  0.448  0.842  0.059
Cl  0.566  0.347  0.940
Cl  0.842  0.059  0.448
Cl  0.940  0.566  0.347